A relaxed Na2CrPbF8 crystal, computed with GGA+U.

symmetry: P2/m, No. 10
volume: 14.9 Å³/atom
total energy: -4.93 eV per atom

a b c (Å): 4.9371 6.8985 5.2692
angles (deg): 90.00 91.68 90.00
With the nearest neighbours (Å) after each atom.
Fractional positions:
1 Na 0.0000 0.2288 0.0000  6 F 2.28-2.36
2 Na 0.0000 0.7712 0.0000  6 F 2.28-2.36
3 Cr 0.5000 0.0000 0.5000  6 F 1.91-1.97
4 Pb 0.5000 0.5000 0.5000  6 F 2.21-2.38
5 F 0.1837 0.5000 0.1956  1 Pb 2.21, 2 Na 2.31
6 F 0.2294 0.0000 0.2324  1 Cr 1.91
7 F 0.3150 0.2128 0.6736  1 Cr 1.97
8 F 0.3150 0.7872 0.6736  1 Cr 1.97
9 F 0.6850 0.2128 0.3264  1 Cr 1.97
10 F 0.6850 0.7872 0.3264  1 Cr 1.97
11 F 0.7706 0.0000 0.7676  1 Cr 1.91
12 F 0.8163 0.5000 0.8044  1 Pb 2.21, 2 Na 2.31